Entry 1:
Compound: HoTh2As3
Source: Alexandria via LeMat-Bulk
Functional: GGA-PBE
Structure: relaxed

extended XYZ file:
```
6
Lattice="4.201 0.000 0.000 0.000 5.955 0.000 -2.100 -2.978 6.315" Properties=species:S:1:pos:R:3 pbc="T T T"
As 3.151 1.489 1.115
As 1.050 -1.489 3.157
As -1.050 1.489 5.199
Ho 1.050 1.489 3.157
Th -1.050 -1.489 5.267
Th 3.151 4.466 1.048
```

## Properties
E above lowest polymorph: 0 meV per atom
total energy: -6.9970 eV/atom
energy of formation: -1.436 eV per atom
space group: Immm



Entry 2:
Compound: Pr3ZnO
Source: Alexandria via LeMat-Bulk
Functional: GGA-PBE
Structure: relaxed

extended XYZ file:
```
5
Lattice="4.979 0.000 0.000 0.000 4.979 0.000 0.000 0.000 4.979" Properties=species:S:1:pos:R:3 pbc="T T T"
Pr 0.000 2.489 0.000
Pr 0.000 0.000 2.489
Pr 2.489 0.000 0.000
Zn 2.489 2.489 2.489
O 0.000 0.000 0.000
```

## Properties
uncorrected formation energy: -114.8 kJ/mol of atoms
total energy: -5.3036 eV/atom
space group: Pm-3m



Entry 3:
Compound: Hf2Co4Ge3
Source: Alexandria via LeMat-Bulk
Functional: GGA-PBE
Structure: relaxed

extended XYZ file:
```
18
Lattice="-4.133 3.037 0.906 -2.796 -4.944 3.815 5.257 1.109 5.290" Properties=species:S:1:pos:R:3 pbc="T T T"
Hf -1.028 -2.423 3.431
Hf -3.951 -2.418 5.052
Hf 2.279 1.621 4.960
Hf -0.644 1.626 6.581
Co -0.364 -0.670 8.069
Co 1.703 -2.188 7.615
Co -1.656 -3.969 5.747
Co -2.401 -0.113 4.396
Co -0.016 3.172 4.265
Co -1.308 -0.128 1.943
Co 0.729 -0.684 5.616
Co -3.375 1.391 2.397
Ge -1.446 -1.561 6.120
Ge -2.293 2.283 4.345
Ge -3.465 -0.953 2.361
Ge 0.621 -3.080 5.667
Ge 0.000 0.000 0.000
Ge -0.226 0.764 3.892
```

## Properties
total energy: -7.3634 eV/atom
energy of formation: -0.454 eV per atom
space group: Cmce



Entry 4:
Compound: Ca2ZnSn4Rh3
Source: Alexandria via LeMat-Bulk
Functional: GGA-PBE
Structure: relaxed

extended XYZ file:
```
10
Lattice="-2.360 -2.229 3.038 0.432 -3.721 -2.394 9.446 -2.462 5.532" Properties=species:S:1:pos:R:3 pbc="T T T"
Sn 0.000 0.000 0.000
Sn 4.822 -2.678 5.033
Sn 3.661 -2.758 0.821
Sn -0.964 -2.975 0.322
Ca 1.178 -1.729 2.900
Ca 7.305 -3.708 2.954
Zn 3.760 -4.206 3.088
Rh 7.024 -3.252 6.323
Rh 4.723 -1.231 2.766
Rh 1.459 -2.184 -0.469
```

## Properties
total energy: -4.8454 eV/atom
energy of formation: -0.511 eV per atom
space group: P-4m2



Entry 5:
Compound: NaCd
Source: Alexandria via LeMat-Bulk
Functional: GGA-PBE
Structure: relaxed

extended XYZ file:
```
4
Lattice="5.416 0.000 0.000 -2.708 4.690 0.000 0.000 0.000 6.254" Properties=species:S:1:pos:R:3 pbc="T T T"
Na 0.000 3.127 1.563
Na 2.708 1.563 4.690
Cd 0.000 3.127 4.690
Cd 2.708 1.563 1.563
```

## Properties
total energy: -0.8845 eV/atom
energy of formation: 0.233 eV per atom
space group: P6_3/mmc



Entry 6:
Compound: TlCuGeSe3
Source: Alexandria via LeMat-Bulk
Functional: GGA-PBE
Structure: relaxed

extended XYZ file:
```
12
Lattice="-0.369 -2.504 -2.771 0.240 -5.911 5.309 -9.969 2.846 -1.243" Properties=species:S:1:pos:R:3 pbc="T T T"
Ge -3.680 -5.838 1.952
Ge -6.418 0.269 -0.659
Se -1.792 -4.480 0.474
Se -1.076 -6.829 2.501
Se -5.112 -1.756 -1.545
Se -9.022 1.260 -1.207
Se -4.986 -3.813 2.839
Se -8.306 -1.089 0.820
Tl -2.282 -1.355 0.258
Tl -7.816 -4.214 1.036
Cu -0.884 -4.372 2.797
Cu -9.214 -1.197 -1.503
```

## Properties
uncorrected formation energy: -15.1 kJ/mol of atoms
total energy: -3.7452 eV/atom
space group: P2_1/m



Entry 7:
Compound: LiCaAu3
Source: Alexandria via LeMat-Bulk
Functional: GGA-PBE
Structure: relaxed

extended XYZ file:
```
20
Lattice="-2.707 0.189 -6.010 5.501 -3.488 1.031 -5.968 -8.698 2.415" Properties=species:S:1:pos:R:3 pbc="T T T"
Ca 0.000 0.000 0.000
Ca 1.273 -4.437 -0.712
Ca -4.447 -7.561 -1.852
Ca -2.984 -4.349 1.207
Li -1.049 -7.821 0.227
Li -0.801 -2.246 -3.328
Li -2.374 -9.752 0.763
Li -2.125 -4.177 -2.792
Au -4.337 -4.255 -1.798
Au -3.298 -7.488 1.250
Au -0.141 -9.489 1.842
Au -1.695 -9.381 -1.607
Au 2.750 -1.744 0.516
Au 0.124 -4.510 -3.815
Au -1.480 -2.616 -0.957
Au -3.033 -2.508 -4.406
Au -1.353 0.094 -3.005
Au -0.234 -6.093 1.723
Au -1.587 -5.999 -1.282
Au 1.397 -1.650 -2.490
```

## Properties
E above lowest polymorph: 92 meV per atom
total energy: -3.2230 eV/atom
energy of formation: -0.473 eV per atom
space group: P6_3/mmc



Entry 8:
Compound: Li3SbAu
Source: Alexandria via LeMat-Bulk
Functional: GGA-PBE
Structure: relaxed

extended XYZ file:
```
10
Lattice="4.748 -0.014 1.468 1.212 4.824 0.376 0.241 -0.028 7.704" Properties=species:S:1:pos:R:3 pbc="T T T"
Li 4.046 1.647 2.845
Li 2.308 4.067 2.223
Li 4.244 4.052 4.409
Li 3.386 4.042 7.191
Li 5.147 1.625 7.767
Li 1.228 1.645 3.562
Au 3.237 1.636 5.506
Au 5.051 4.063 1.747
Sb 1.475 4.054 4.955
Sb 2.067 1.657 0.831
```

## Properties
E above lowest polymorph: 0 meV per atom
uncorrected formation energy: -51.0 kJ/mol of atoms
total energy: -3.1572 eV/atom
space group: P-1



Entry 9:
Compound: Ac2TmIn2
Source: Alexandria via LeMat-Bulk
Functional: GGA-PBE
Structure: relaxed

extended XYZ file:
```
10
Lattice="-1.820 2.427 4.064 -2.113 -4.456 4.879 8.750 0.874 6.562" Properties=species:S:1:pos:R:3 pbc="T T T"
In 5.687 2.456 10.574
In -0.871 -3.612 4.931
In 2.856 -0.675 4.847
In 1.961 -0.481 10.659
Ac -0.235 -0.346 3.266
Ac 5.052 -0.810 12.240
Ac 0.480 -1.353 7.352
Ac 4.337 0.197 8.154
Tm 3.121 -3.126 9.594
Tm 1.696 1.971 5.912
```

## Properties
E above lowest polymorph: 0 meV per atom
total energy: -3.9840 eV/atom
energy of formation: -0.351 eV per atom
space group: C2/m



Entry 10:
Compound: SnHPd3
Source: Alexandria via LeMat-Bulk
Functional: GGA-PBE
Structure: relaxed

extended XYZ file:
```
10
Lattice="3.931 -2.269 0.000 0.000 4.539 0.000 0.000 0.000 8.060" Properties=species:S:1:pos:R:3 pbc="T T T"
Pd 0.000 0.000 6.045
Pd 0.000 0.000 2.015
Pd 1.310 2.269 0.632
Pd 2.621 0.000 4.662
Pd 1.310 2.269 3.398
Pd 2.621 0.000 7.428
H 0.000 0.000 4.030
H 0.000 0.000 0.000
Sn 1.310 2.269 6.045
Sn 2.621 0.000 2.015
```

## Properties
E above lowest polymorph: 227 meV per atom
total energy: -4.7507 eV/atom
space group: P6_3/mmc



Entry 11:
Compound: AlSb3
Source: Alexandria via LeMat-Bulk
Functional: GGA-PBE
Structure: relaxed

extended XYZ file:
```
4
Lattice="-1.760 4.317 -3.770 -4.072 -0.871 0.904 0.104 2.872 3.239" Properties=species:S:1:pos:R:3 pbc="T T T"
Sb 0.089 2.445 2.758
Sb -2.004 0.439 1.439
Sb -2.880 2.722 -0.306
Al -0.794 4.539 0.800
```

## Properties
E above lowest polymorph: 26 meV per atom
uncorrected formation energy: 7.5 kJ/mol of atoms
total energy: -3.9492 eV/atom
space group: Pmm2



Entry 12:
Compound: LaTb6Dy3
Source: Alexandria via LeMat-Bulk
Functional: GGA-PBE
Structure: relaxed

extended XYZ file:
```
10
Lattice="-3.489 -7.708 -5.073 3.877 -8.968 1.368 -2.473 -6.250 1.606" Properties=species:S:1:pos:R:3 pbc="T T T"
Tb 1.941 -11.735 0.537
Tb -1.680 -13.908 -3.309
Tb -1.824 -8.331 -2.083
Tb -0.678 -9.148 1.463
Tb -4.233 -11.257 -2.307
Tb -0.553 -14.607 0.248
Dy 0.097 -11.160 -2.293
Dy -1.275 -5.932 0.299
Dy -1.824 -11.671 -0.196
La -0.393 -16.884 -2.852
```

## Properties
E above lowest polymorph: 119 meV per atom
total energy: -4.3793 eV/atom
energy of formation: 0.272 eV per atom
space group: R32